Material: PrSmNO
Method: DFT, PBE
State: optimized geometry

Properties
M_tot   0.7 μB/f.u.
Crystal system   tetragonal
E_tot   -7.289 eV per atom
Polymorph energy (0 for the lowest one)   456 meV per atom

a b c (Å): 4.3175 4.3175 8.5217
angles (deg): 90.00 90.00 90.00
Last column: nearest neighbours and their distance in Å.
Space group P4/nmm (No. 129, origin choice 2)
Inequivalent atoms, fractional coordinates:
Pr 0.2500 0.2500 0.1196 [2 per cell]  4 O 2.39
Sm 0.2500 0.7500 0.5000 [2 per cell]  4 N 2.42
N 0.2500 0.2500 0.6279 [2 per cell]  4 Sm 2.42
O 0.2500 0.7500 0.0000 [2 per cell]  4 Pr 2.39



Material: PrSmNO
Method: DFT, PBE
State: optimized geometry

Properties
M_tot   0.0 μB/f.u.
Crystal system   orthorhombic
E_tot   -7.723 eV per atom
Polymorph energy (0 for the lowest one)   22 meV per atom

a b c (Å): 8.3682 6.8847 5.1591
angles (deg): 90.00 90.00 90.00
Last column: nearest neighbours and their distance in Å.
Space group Pbcm (No. 57)
Inequivalent atoms, fractional coordinates:
Pr 0.1246 0.0706 0.2500 [4 per cell]  4 O 2.35-2.58, 1 N 2.35
Sm 0.3759 0.5828 0.2500 [4 per cell]  4 N 2.32-2.58, 1 O 2.33
N 0.3789 0.5759 0.7500 [4 per cell]  4 Sm 2.32-2.58, 1 Pr 2.35
O 0.1363 0.0888 0.7500 [4 per cell]  1 Sm 2.33, 4 Pr 2.35-2.58